## Li2MgMnF6 (PBE with a Hubbard U)

Data for an optimized crystal structure of Li2MgMnF6.

a b c (Å): 5.1903 5.1944 5.5870
angles (deg): 62.39 89.99 60.09
With the nearest neighbours (Å) after each atom.
Space group P1 (No. 1)
Asymmetric unit:
Li  0.0000  0.0000  0.0000 [1 per cell]  3 F 1.96
Li  0.4966  0.0094  0.4868 [1 per cell]  3 F 1.98
Mg  0.7044  0.5922  0.1107 [1 per cell]  6 F 2.00-2.04
Mn  0.2088  0.5839  0.6230 [1 per cell]  6 F 2.10-2.20
F  0.0979  0.4755  0.3184 [1 per cell]  1 Li 1.98, 1 Mg 2.00, 1 Mn 2.18
F  0.3073  0.7877  0.8314 [1 per cell]  1 Li 1.96, 1 Mg 2.04, 1 Mn 2.10
F  0.4276  0.7784  0.3184 [1 per cell]  1 Li 1.98, 1 Mg 2.00, 1 Mn 2.18
F  0.6218  0.0713  0.8308 [1 per cell]  1 Li 1.96, 1 Mg 2.04, 1 Mn 2.12
F  0.7941  0.1095  0.3161 [1 per cell]  1 Li 1.98, 1 Mg 2.00, 1 Mn 2.20
F  0.9066  0.4740  0.8313 [1 per cell]  1 Li 1.96, 1 Mg 2.04, 1 Mn 2.10

DOS(E_F) in states/eV/cell: 0.00
Total energy in eV/atom: -5.45
Total magnetic moment in μB per atom: 0.5000